[1]
The following is a DFT calculation (GGA-PBE) of crystalline SmSb2 at its relaxed geometry.

* total DFT energy (no corrections): -21.99 eV per cell

a = 9.8014 Å, b = 9.8014 Å, c = 9.8014 Å
α = 60.00°, β = 60.00°, γ = 60.00°
Element x y z (fractional)
Sm  0.1250  0.1250  0.1250
Sm  0.8750  0.8750  0.8750
Sb  0.0000  0.0000  0.0000
Sb  0.0000  0.0000  0.5000
Sb  0.0000  0.5000  0.0000
Sb  0.5000  0.0000  0.0000

[2]
The following is a DFT calculation (GGA-PBE) of crystalline LuGaCoIr at its relaxed geometry.

* total DFT energy (no corrections): -25.54 eV per cell
* excess energy over the best structure of this formula in the dataset: 0 meV/atom

a = 4.4310 Å, b = 4.4310 Å, c = 4.4310 Å
α = 60.00°, β = 60.00°, γ = 60.00°
Element x y z (fractional)
Lu  0.0000  0.0000  0.0000
Ga  0.5000  0.5000  0.5000
Co  0.7500  0.7500  0.7500
Ir  0.2500  0.2500  0.2500